Material: SrAsPt2
Method: DFT, PBE
State: optimized geometry

extended XYZ file:
```
4
Lattice="-1.231 5.212 -0.359 -3.922 1.413 3.381 4.608 -2.688 0.586" Properties=species:S:1:pos:R:3 pbc="T T T"
Pt -0.945 1.019 2.739
Pt 0.000 0.000 0.000
Sr -2.576 3.313 1.511
As 0.401 2.918 0.869
```

Calculated values
N(E_F) ... 1.39 states/eV/cell
ΔE_f ... -300 meV/atom
Magnetization ... 0.0 μB per formula unit